AlCuTcNi2: optimized geometry, PBEsol.

Cell and atoms, written as POSCAR:
```
AlCuTcNi2
1.0
4.1404 0.0000 0.0000
0.0000 4.1404 0.0000
0.0000 0.0000 4.4519
Al Cu Tc Ni
1 1 1 2
Direct
0.0000 0.0000 0.0000
0.5000 0.5000 0.5000
0.0000 0.0000 0.5000
0.0000 0.5000 0.0000
0.5000 0.0000 0.0000
```

Properties
Its calculated total energy is -5.143 eV per atom. The energy of formation comes out at 1258 meV/atom.